# Tb5PrAl4

A geometry-optimized Tb5PrAl4 structure (PBE, Alexandria via LeMat-Bulk).

* E_tot: -46.0 eV/cell
* energy of formation from the pure elements: -0.310 eV per atom
* M_tot: 0.00 μB per formula unit

Unit cell a=3.5933 b=3.5933 c=19.9710 alpha=90.00 beta=90.00 gamma=90.00
Fractional coordinates of all 10 atoms:
Tb 0.0000 0.0000 0.0000
Tb 0.0000 0.0000 0.1829
Tb 0.0000 0.0000 0.3660
Tb 0.0000 0.0000 0.6340
Tb 0.0000 0.0000 0.8171
Pr 0.5000 0.5000 0.5000
Al 0.5000 0.5000 0.0917
Al 0.5000 0.5000 0.2756
Al 0.5000 0.5000 0.7244
Al 0.5000 0.5000 0.9083